Record 1
! Hf3Ti12Sb5 | Alexandria via LeMat-Bulk | GGA-PBE | optimized geometry; values from VASP
! energy relative to the elements, uncorrected: 0.513 eV/atom
! Fermi-level density of states: 1.445 states/eV/atom
! volume: 512 Å³/f.u.
! SG: Ia-3d (230)
&SYSTEM
  ibrav = 0, nat = 80, ntyp = 3
/
ATOMIC_SPECIES
Ti 47.87 Ti.upf
Hf 178.49 Hf.upf
Sb 121.76 Sb.upf
ATOMIC_POSITIONS angstrom
Ti 2.531 8.082 0.869
Ti 4.467 1.815 6.524
Ti -0.222 4.978 0.869
Ti 7.076 3.292 3.965
Ti -2.087 -0.024 9.532
Ti 9.085 1.477 0.821
Ti 2.459 -1.815 6.524
Ti 5.363 -0.788 6.565
Ti 2.159 8.345 4.786
Ti 2.531 5.002 0.910
Ti -5.363 3.716 8.255
Ti 1.563 0.788 6.565
Ti 4.839 -1.528 10.401
Ti 6.181 2.026 1.690
Ti 8.489 -4.504 9.620
Ti 3.944 -1.290 3.877
Ti -1.635 -0.737 4.834
Ti -1.563 -3.716 8.255
Ti -4.839 0.024 9.532
Ti -3.872 11.034 1.690
Ti 7.076 11.582 0.821
Ti 4.839 1.552 10.441
Ti -4.467 5.052 10.489
Ti 6.704 6.553 1.778
Ti -4.767 9.768 3.965
Ti -2.459 -5.052 10.489
Ti 0.150 4.715 4.786
Ti -2.982 7.082 8.710
Ti 7.599 -0.552 2.600
Ti 9.980 2.814 3.055
Ti 6.181 10.246 3.055
Ti -1.563 4.504 9.620
Ti -2.459 3.238 7.345
Ti 9.457 6.506 1.778
Ti -0.745 7.318 4.746
Ti 1.635 5.240 7.433
Ti 9.385 -3.238 7.345
Ti -0.673 0.552 2.600
Ti 2.087 1.528 10.401
Ti -3.944 5.793 6.477
Ti 6.253 7.267 6.477
Ti 8.561 0.737 4.834
Ti 2.982 1.290 3.877
Ti 5.291 5.977 8.710
Ti 3.054 5.742 4.746
Ti 2.087 -1.552 10.441
Ti -0.222 8.058 0.910
Ti 0.673 7.820 7.433
Hf 3.463 0.000 8.483
Hf 8.080 8.979 1.414
Hf 10.389 0.000 2.828
Hf 1.154 -0.816 4.241
Hf 3.463 7.346 7.069
Hf -1.154 5.714 7.069
Hf 8.080 4.081 1.414
Hf -3.463 -2.449 9.896
Hf -3.463 2.449 9.896
Hf 5.772 0.816 4.241
Hf -5.772 6.530 8.483
Hf 1.154 6.530 2.828
Sb 5.772 -4.081 9.896
Sb 2.309 3.265 5.655
Sb 1.154 4.081 9.896
Sb 1.154 -3.265 8.483
Sb 8.080 -0.816 7.069
Sb 5.772 3.265 8.483
Sb -4.617 3.265 5.655
Sb 4.617 6.530 0.000
Sb -1.154 3.265 2.828
Sb 5.772 5.714 4.241
Sb -2.309 -3.265 5.655
Sb -3.463 7.346 4.241
Sb -2.309 6.530 0.000
Sb 0.000 0.000 0.000
Sb 6.926 0.000 0.000
Sb 4.617 -3.265 5.655
Sb -1.154 0.816 7.069
Sb 3.463 2.449 1.414
Sb -1.154 10.611 1.414
Sb 3.463 9.795 2.828
CELL_PARAMETERS angstrom
13.852 0.000 0.000
-4.617 13.060 0.000
-4.617 -6.530 11.310

=====

Record 2
! NaSrHgAs | Alexandria via LeMat-Bulk | GGA-PBE | optimized geometry; values from VASP
! Fermi-level density of states: 0.001 states/eV/atom
! volume: 108 Å³/f.u.
! SG: F-43m (216)
! ΔE_f: -2.56 eV/f.u.
&SYSTEM
  ibrav = 0, nat = 4, ntyp = 4
/
ATOMIC_SPECIES
Sr 87.62 Sr.upf
As 74.92 As.upf
Hg 200.59 Hg.upf
Na 22.99 Na.upf
ATOMIC_POSITIONS angstrom
Sr 8.019 4.630 3.274
As 0.000 0.000 0.000
Hg 5.346 3.087 2.183
Na 2.673 1.543 1.091
CELL_PARAMETERS angstrom
5.346 0.000 0.000
2.673 4.630 0.000
2.673 1.543 4.365

=====

Record 3
! HgBi3O | Alexandria via LeMat-Bulk | GGA-PBE | optimized geometry; values from VASP
! energy relative to the elements, uncorrected: -0.030 eV/atom
! Fermi-level density of states: 0.796 states/eV/atom
! volume: 128 Å³/f.u.
! SG: Pm-3m (221)
&SYSTEM
  ibrav = 0, nat = 5, ntyp = 3
/
ATOMIC_SPECIES
Bi 208.98 Bi.upf
O 16.00 O.upf
Hg 200.59 Hg.upf
ATOMIC_POSITIONS angstrom
Bi 0.000 2.517 0.000
Bi 0.000 0.000 2.517
Bi 2.517 0.000 0.000
O 0.000 0.000 0.000
Hg 2.517 2.517 2.517
CELL_PARAMETERS angstrom
5.035 0.000 0.000
0.000 5.035 0.000
0.000 0.000 5.035